No. 1
A geometry-optimized SiSbSCl2 structure. Source: Alexandria via LeMat-Bulk, functional PBE.

The structure in POSCAR format:
```
SiSbSCl2
1.0
-2.477 2.958 2.763
-1.973 -3.711 2.204
3.649 0.002 3.270
Sb S Si Cl
1 1 1 2
Cartesian
-0.400 -0.376 4.118
1.825 0.001 1.635
0.000 0.000 0.000
-0.986 -1.855 1.102
-1.239 1.479 1.382
```

Calculated values
Formation energy (no corrections)   0.0431 eV/atom

=====

No. 2
A geometry-optimized SnSbS2Cl structure. Source: Alexandria via LeMat-Bulk, functional PBE.

The structure in POSCAR format:
```
SnSbS2Cl
1.0
-0.748 5.220 -1.898
0.885 -1.909 -5.599
-9.190 -0.653 1.825
Sn Sb S Cl
2 2 4 2
Cartesian
-7.538 -0.505 -2.557
-1.514 3.163 -3.115
-3.476 -0.283 -3.545
-5.576 2.941 -2.127
-4.018 2.461 -4.059
-5.034 0.197 -1.613
-7.627 2.272 -3.159
-1.426 0.386 -2.514
-7.429 0.721 0.771
-1.623 1.937 -6.443
```

Calculated values
Formation energy (no corrections)   -0.4728 eV/atom

=====

No. 3
A geometry-optimized SnSbS2Cl structure. Source: Alexandria via LeMat-Bulk, functional PBE.

The structure in POSCAR format:
```
SnSbS2Cl
1.0
-0.880 -0.466 -5.086
-2.703 -4.336 0.865
-4.260 2.752 0.485
Sb S Sn Cl
1 2 1 1
Cartesian
0.000 0.000 0.000
-1.351 -2.168 0.432
-0.440 -0.233 -2.543
-3.922 -1.025 -1.868
-2.130 1.376 0.242
```

Calculated values
Formation energy (no corrections)   -0.0372 eV/atom

=====

No. 4
A geometry-optimized Sn2SbSCl structure. Source: Alexandria via LeMat-Bulk, functional PBE.

The structure in POSCAR format:
```
Sn2SbSCl
1.0
5.855 0.000 0.000
0.000 5.062 0.000
0.000 0.000 5.855
Sb S Sn Cl
1 1 2 1
Cartesian
0.000 0.000 0.000
2.927 2.531 2.927
0.000 0.000 2.927
2.927 0.000 0.000
0.000 2.531 0.000
```

Calculated values
Formation energy (no corrections)   0.4146 eV/atom

=====

No. 5
A geometry-optimized TaSbSCl2 structure. Source: Alexandria via LeMat-Bulk, functional PBE.

The structure in POSCAR format:
```
TaSbSCl2
1.0
4.450 0.000 0.000
0.000 6.199 0.000
0.000 0.000 4.450
Sb S Cl Ta
1 1 2 1
Cartesian
0.000 3.099 0.000
0.000 0.000 0.000
0.000 0.000 2.225
2.225 0.000 0.000
2.225 3.099 2.225
```

Calculated values
Formation energy (no corrections)   0.9291 eV/atom

=====

No. 6
A geometry-optimized TaSbSCl2 structure. Source: Alexandria via LeMat-Bulk, functional PBE.

The structure in POSCAR format:
```
TaSbSCl2
1.0
-2.961 -3.266 -2.701
3.998 -3.246 -0.458
-1.465 -2.449 4.567
Sb S Cl Ta
1 1 2 1
Cartesian
0.000 0.000 0.000
-0.733 -1.225 2.284
1.999 -1.623 -0.229
-1.480 -1.633 -1.351
-0.214 -4.481 0.704
```

Calculated values
Formation energy (no corrections)   0.9055 eV/atom

=====

No. 7
A geometry-optimized TaSbSCl2 structure. Source: Alexandria via LeMat-Bulk, functional PBE.

The structure in POSCAR format:
```
TaSbSCl2
1.0
4.887 0.000 0.000
0.000 4.887 0.000
0.000 0.000 4.906
Sb S Cl Ta
1 1 2 1
Cartesian
2.444 2.444 2.453
0.000 0.000 2.453
0.000 2.444 0.000
2.444 0.000 0.000
0.000 0.000 0.000
```

Calculated values
Formation energy (no corrections)   -0.0822 eV/atom

=====

No. 8
A geometry-optimized TcSbSCl2 structure. Source: Alexandria via LeMat-Bulk, functional PBE.

The structure in POSCAR format:
```
TcSbSCl2
1.0
-4.982 -1.608 0.575
1.693 -4.885 1.005
0.226 1.131 5.117
Sb S Tc Cl
1 1 1 2
Cartesian
0.000 0.000 0.000
0.113 0.565 2.558
-1.532 -2.681 3.348
0.846 -2.443 0.502
-2.491 -0.804 0.288
```

Calculated values
Formation energy (no corrections)   0.6717 eV/atom

=====

Look up the formation energy (no corrections) of the second one. -0.4728 eV/atom

=====

The highest formation energy (no corrections) belongs to which entry? number 5

=====

Which value of formation energy (no corrections) does entry 6 give? 0.9055 eV/atom